Compound: TlSbC
Source: the Alexandria database
Functional: PBE-GGA
Structure: optimized geometry

Lattice parameters (Å, degrees): 4.305 4.740 8.935 77.73 77.53 89.91
Fractional positions:
Tl: 0.000 0.000 0.000
Tl: 0.299 0.624 0.712
Sb: 0.366 0.321 0.346
Sb: 0.856 0.892 0.370
C: 0.488 0.476 0.097
C: 0.572 0.585 0.952

energy above the most stable polymorph in this dataset = 0.000 eV per formula unit
M_tot = 0.000 μB per atom
total energy = -4.624 eV per atom